First-principles (PBEsol) data for a geometry-optimized SbTe2Br structure, as listed in Alexandria.

Cell lengths 4.3411, 4.3411, 5.6789 Å; angles 90.00, 90.00, 90.00 degrees
Last column: nearest neighbours and their distance in Å.
Positions (direct):
Sb1 0.0000 0.0000 0.0000  4 Br 3.07
Te1 0.0000 0.5000 0.5000  4 Te 3.07
Te2 0.5000 0.0000 0.5000  4 Te 3.07
Br1 0.5000 0.5000 0.0000  4 Sb 3.07

Energy relative to the lowest polymorph listed for this composition, meV/atom: 0
Uncorrected formation energy, eV/atom: 0.13
Density, g/cm3: 7.09
Total DFT energy (no corrections), eV/atom: -3.2408

First-principles (PBEsol) data for a geometry-optimized ScCoMo2 structure, as listed in Alexandria.

Cell lengths 5.1587, 5.1587, 2.7105 Å; angles 99.09, 99.09, 120.02 degrees
Last column: nearest neighbours and their distance in Å.
Positions (direct):
Sc1 0.0000 0.0000 0.0000  2 Co 2.58, 2 Sc 2.71, 4 Mo 2.72
Co1 0.5000 0.5000 0.0000  2 Sc 2.58, 2 Co 2.71, 4 Mo 2.72
Mo1 0.0000 0.5000 0.5000  4 Mo 2.58-2.71, 2 Co 2.72, 2 Sc 2.72
Mo2 0.5000 0.0000 0.5000  4 Mo 2.58-2.71, 2 Co 2.72, 2 Sc 2.72

Formation enthalpy at 0 K, eV per atom: 0.18
Energy relative to the lowest polymorph listed for this composition, meV/atom: 148
Density, g/cm3: 8.29
Total DFT energy (no corrections), eV/atom: -9.2866

First-principles (PBEsol) data for a geometry-optimized YHfZrSn2 structure, as listed in Alexandria.

Cell lengths 5.3171, 5.3171, 5.1529 Å; angles 90.00, 90.00, 90.00 degrees
Last column: nearest neighbours and their distance in Å.
Positions (direct):
Y1 0.0000 0.0000 0.0000  2 Hf 2.58
Hf1 0.0000 0.0000 0.5000  2 Y 2.58, 4 Sn 2.66
Zr1 0.5000 0.5000 0.0000  8 Sn 3.70, 4 Y 3.76
Sn1 0.0000 0.5000 0.5000  2 Hf 2.66
Sn2 0.5000 0.0000 0.5000  2 Hf 2.66

Formation enthalpy at 0 K, eV per atom: 0.75
Density, g/cm3: 6.79
Total DFT energy (no corrections), eV/atom: -6.2332

First-principles (PBEsol) data for a geometry-optimized CaCu2As2 structure, as listed in Alexandria.

Cell lengths 6.0876, 6.0876, 6.0876 Å; angles 141.43, 141.43, 55.70 degrees
Last column: nearest neighbours and their distance in Å.
Positions (direct):
Ca1 0.0000 0.0000 0.0000  8 As 3.14, 8 Cu 3.36
Cu1 0.2500 0.7500 0.5000  4 As 2.43
Cu2 0.7500 0.2500 0.5000  4 As 2.43
As1 0.3771 0.3771 0.0000  4 Cu 2.43, 1 As 2.65
As2 0.6229 0.6229 0.0000  4 Cu 2.43, 1 As 2.65

Formation enthalpy at 0 K, eV per atom: -0.50
Density, g/cm3: 6.05
Total DFT energy (no corrections), eV/atom: -4.7019

First-principles (PBEsol) data for a geometry-optimized CaNi2WSe structure, as listed in Alexandria.

Cell lengths 4.3953, 4.3953, 4.6727 Å; angles 90.00, 90.00, 90.00 degrees
Last column: nearest neighbours and their distance in Å.
Positions (direct):
Ca1 0.0000 0.0000 0.0000  4 W 3.11, 8 Ni 3.21
Ni1 0.0000 0.5000 0.5000  2 Se 2.20
Ni2 0.5000 0.0000 0.5000  2 Se 2.20
W1 0.5000 0.5000 0.0000  2 Se 2.34
Se1 0.5000 0.5000 0.5000  4 Ni 2.20, 2 W 2.34

Uncorrected formation energy, eV/atom: 0.55
Density, g/cm3: 7.73
Total DFT energy (no corrections), eV/atom: -5.8708

First-principles (PBEsol) data for a geometry-optimized La2Hg3 structure, as listed in Alexandria.

Cell lengths 8.6152, 6.1975, 9.6531 Å; angles 61.35, 39.14, 79.51 degrees
Last column: nearest neighbours and their distance in Å.
Positions (direct):
La1 0.1320 0.8680 0.2614  9 Hg 3.19-3.54
La2 0.5114 0.9886 0.3820  9 Hg 3.19-3.54
La3 0.8680 0.1320 0.7386  9 Hg 3.19-3.54
La4 0.9886 0.5114 0.1180  9 Hg 3.19-3.54
Hg1 0.1483 0.1483 0.8517  4 Hg 3.02-3.04, 4 La 3.29-3.36
Hg2 0.3983 0.3983 0.1017  4 Hg 3.02-3.04, 4 La 3.29-3.36
Hg3 0.4633 0.5688 0.3061  4 Hg 3.02-3.11, 5 La 3.19-3.35
Hg4 0.5688 0.4633 0.6618  4 Hg 3.02-3.11, 5 La 3.19-3.35
Hg5 0.5882 0.9439 0.6812  4 Hg 3.02-3.11, 5 La 3.19-3.35
Hg6 0.9439 0.5882 0.7867  4 Hg 3.02-3.11, 5 La 3.19-3.35

Formation enthalpy at 0 K, eV per atom: -0.51
Density, g/cm3: 10.89
Total DFT energy (no corrections), eV/atom: -2.9852

First-principles (PBEsol) data for a geometry-optimized MgRh2 structure, as listed in Alexandria.

Cell lengths 4.1040, 4.1040, 4.1040 Å; angles 60.00, 60.00, 60.00 degrees
Last column: nearest neighbours and their distance in Å.
Positions (direct):
Mg1 0.0000 0.0000 0.0000  8 Rh 2.51
Rh1 0.2500 0.2500 0.2500  4 Mg 2.51
Rh2 0.7500 0.7500 0.7500  4 Mg 2.51

Formation enthalpy at 0 K, eV per atom: 0.58
Density, g/cm3: 7.82
Total DFT energy (no corrections), eV/atom: -5.4181

First-principles (PBEsol) data for a geometry-optimized ScCoTc2 structure, as listed in Alexandria.

Cell lengths 3.0701, 4.2127, 4.3830 Å; angles 90.00, 90.00, 90.00 degrees
Last column: nearest neighbours and their distance in Å.
Positions (direct):
Sc1 0.0000 0.0000 0.0000  4 Co 2.61, 4 Tc 2.68
Co1 0.5000 0.5000 0.0000  4 Sc 2.61, 4 Tc 2.68
Tc1 0.0000 0.5000 0.5000  4 Tc 2.61, 4 Co 2.68
Tc2 0.5000 0.0000 0.5000  4 Tc 2.61, 4 Sc 2.68

Formation enthalpy at 0 K, eV per atom: -0.02
Energy relative to the lowest polymorph listed for this composition, meV/atom: 30
Density, g/cm3: 8.78
Total DFT energy (no corrections), eV/atom: -9.2434

First-principles (PBEsol) data for a geometry-optimized Zr2CuSiRu structure, as listed in Alexandria.

Cell lengths 4.9039, 4.9039, 4.4440 Å; angles 90.00, 90.00, 90.00 degrees
Last column: nearest neighbours and their distance in Å.
Positions (direct):
Zr1 0.0000 0.5000 0.0000  2 Ru 2.45
Zr2 0.5000 0.0000 0.0000  2 Ru 2.45
Cu1 0.0000 0.0000 0.5000  8 Zr 3.31, 4 Si 3.47
Si1 0.5000 0.5000 0.5000  2 Ru 2.22
Ru1 0.5000 0.5000 0.0000  2 Si 2.22, 4 Zr 2.45

Uncorrected formation energy, eV/atom: 0.40
Density, g/cm3: 5.83
Total DFT energy (no corrections), eV/atom: -7.2883

First-principles (PBEsol) data for a geometry-optimized BaTeIr2 structure, as listed in Alexandria.

Cell lengths 3.4630, 3.4630, 7.4882 Å; angles 90.00, 90.00, 90.00 degrees
Last column: nearest neighbours and their distance in Å.
Positions (direct):
Ba1 0.0000 0.0000 0.0000  5 Ir 3.22-3.43, 4 Ba 3.46
Te1 0.5000 0.5000 0.6274  5 Ir 2.61-2.76
Ir1 0.0000 0.0000 0.4578  4 Te 2.76, 4 Ir 2.79
Ir2 0.5000 0.5000 0.2791  1 Te 2.61, 4 Ir 2.79

Uncorrected formation energy, eV/atom: 0.25
Density, g/cm3: 12.01
Total DFT energy (no corrections), eV/atom: -6.0815

First-principles (PBEsol) data for a geometry-optimized Sr2InNi structure, as listed in Alexandria.

Cell lengths 5.1611, 5.1611, 5.1611 Å; angles 60.00, 60.00, 60.00 degrees
Last column: nearest neighbours and their distance in Å.
Positions (direct):
Sr1 0.0000 0.0000 0.0000  4 Ni 3.16, 4 Sr 3.16
Sr2 0.2500 0.2500 0.2500  4 In 3.16, 4 Sr 3.16
In1 0.5000 0.5000 0.5000  4 Ni 3.16, 4 Sr 3.16
Ni1 0.7500 0.7500 0.7500  4 In 3.16, 4 Sr 3.16

Formation enthalpy at 0 K, eV per atom: 0.08
Density, g/cm3: 5.96
Total DFT energy (no corrections), eV/atom: -3.1281

First-principles (PBEsol) data for a geometry-optimized Sc2Be2Cd structure, as listed in Alexandria.

Cell lengths 6.6739, 6.6739, 3.6683 Å; angles 90.00, 90.00, 90.00 degrees
Last column: nearest neighbours and their distance in Å.
Positions (direct):
Sc1 0.1692 0.3308 0.0000  6 Be 2.68-2.71
Sc2 0.3308 0.8308 0.0000  6 Be 2.68-2.71
Sc3 0.6692 0.1692 0.0000  6 Be 2.68-2.71
Sc4 0.8308 0.6692 0.0000  6 Be 2.68-2.71
Be1 0.1191 0.6191 0.5000  1 Be 2.25
Be2 0.3809 0.1191 0.5000  1 Be 2.25
Be3 0.6191 0.8809 0.5000  1 Be 2.25
Be4 0.8809 0.3809 0.5000  1 Be 2.25
Cd1 0.0000 0.0000 0.5000  4 Be 2.66
Cd2 0.5000 0.5000 0.5000  4 Be 2.66

Formation enthalpy at 0 K, eV per atom: -0.14
Density, g/cm3: 4.48
Total DFT energy (no corrections), eV/atom: -4.6166

no.,calculated volume (A^3/atom)
1,26.8
2,14.8
3,29.1
4,17.4
5,18.1
6,26.8
7,16.3
8,14.2
9,21.4
10,22.4
11,24.3
12,16.3